A crystal of MoOs2Rh relaxed with PBEsol. Source: the Alexandria database, functional SCAN.

Excess energy over the best structure of this formula in the dataset: 202 meV per atom
DFT formation energy: 0.125 eV per atom

CIF file:
```
data_MoOs2Rh
_chemical_formula_sum 'Mo3 Os6 Rh3'
_cell_length_a 2.7070
_cell_length_b 2.7070
_cell_length_c 26.7816
_cell_angle_alpha 90.00
_cell_angle_beta 90.00
_cell_angle_gamma 120.00
_symmetry_space_group_name_H-M 'P 1'
_symmetry_Int_Tables_number 1
loop_
_symmetry_equiv_pos_as_xyz
'x,y,z'
loop_
_atom_site_label
_atom_site_fract_x
_atom_site_fract_y
_atom_site_fract_z
Mo1 0.0000 0.0000 0.0000
Mo2 0.3333 0.6667 0.6667
Mo3 0.6667 0.3333 0.3333
Os1 0.0000 0.0000 0.2494
Os2 0.0000 0.0000 0.7506
Os3 0.3333 0.6667 0.4173
Os4 0.3333 0.6667 0.9160
Os5 0.6667 0.3333 0.0840
Os6 0.6667 0.3333 0.5827
Rh1 0.0000 0.0000 0.5000
Rh2 0.3333 0.6667 0.1667
Rh3 0.6667 0.3333 0.8333
```



A crystal of Tl2AsBr relaxed with PBEsol. Source: the Alexandria database, functional SCAN.

Excess energy over the best structure of this formula in the dataset: 31 meV per atom

CIF file:
```
data_Tl2AsBr
_chemical_formula_sum 'Tl4 As2 Br2'
_cell_length_a 5.3462
_cell_length_b 3.4641
_cell_length_c 11.4652
_cell_angle_alpha 90.00
_cell_angle_beta 90.00
_cell_angle_gamma 90.00
_symmetry_space_group_name_H-M 'P 1'
_symmetry_Int_Tables_number 1
loop_
_symmetry_equiv_pos_as_xyz
'x,y,z'
loop_
_atom_site_label
_atom_site_fract_x
_atom_site_fract_y
_atom_site_fract_z
Tl1 0.0000 0.0000 0.0000
Tl2 0.0000 0.5000 0.5000
Tl3 0.5000 0.0000 0.2381
Tl4 0.5000 0.5000 0.7381
As1 0.5000 0.0000 0.5026
As2 0.5000 0.5000 0.0026
Br1 0.0000 0.0000 0.7401
Br2 0.0000 0.5000 0.2401
```



A crystal of TaAs2CBr relaxed with PBEsol. Source: the Alexandria database, functional SCAN.

CIF file:
```
data_TaAs2CBr
_chemical_formula_sum 'Ta1 As2 C1 Br1'
_cell_length_a 4.9599
_cell_length_b 4.9599
_cell_length_c 4.9719
_cell_angle_alpha 90.00
_cell_angle_beta 90.00
_cell_angle_gamma 90.00
_symmetry_space_group_name_H-M 'P 1'
_symmetry_Int_Tables_number 1
loop_
_symmetry_equiv_pos_as_xyz
'x,y,z'
loop_
_atom_site_label
_atom_site_fract_x
_atom_site_fract_y
_atom_site_fract_z
Ta1 0.0000 0.0000 0.0000
As1 0.0000 0.5000 0.0000
As2 0.5000 0.0000 0.0000
C1 0.5000 0.5000 0.5000
Br1 0.0000 0.0000 0.5000
```



A crystal of NbCrC2 relaxed with PBEsol. Source: the Alexandria database, functional SCAN.

DFT formation energy: 0.227 eV per atom

CIF file:
```
data_NbCrC2
_chemical_formula_sum 'Nb4 Cr4 C8'
_cell_length_a 4.5707
_cell_length_b 4.5707
_cell_length_c 9.2805
_cell_angle_alpha 90.00
_cell_angle_beta 90.00
_cell_angle_gamma 90.00
_symmetry_space_group_name_H-M 'P 1'
_symmetry_Int_Tables_number 1
loop_
_symmetry_equiv_pos_as_xyz
'x,y,z'
loop_
_atom_site_label
_atom_site_fract_x
_atom_site_fract_y
_atom_site_fract_z
Nb1 0.0000 0.0000 0.0000
Nb2 0.0000 0.5000 0.2500
Nb3 0.5000 0.0000 0.7500
Nb4 0.5000 0.5000 0.5000
Cr1 0.0000 0.0000 0.5000
Cr2 0.0000 0.5000 0.7500
Cr3 0.5000 0.0000 0.2500
Cr4 0.5000 0.5000 0.0000
C1 0.2154 0.2500 0.6250
C2 0.2500 0.7154 0.8750
C3 0.2500 0.7846 0.3750
C4 0.2846 0.2500 0.1250
C5 0.7154 0.7500 0.1250
C6 0.7500 0.2154 0.3750
C7 0.7500 0.2846 0.8750
C8 0.7846 0.7500 0.6250
```



A crystal of YMgPb2 relaxed with PBEsol. Source: the Alexandria database, functional SCAN.

DFT formation energy: -0.515 eV per atom

CIF file:
```
data_YMgPb2
_chemical_formula_sum 'Y2 Mg2 Pb4'
_cell_length_a 11.5086
_cell_length_b 4.3981
_cell_length_c 4.3945
_cell_angle_alpha 90.00
_cell_angle_beta 112.37
_cell_angle_gamma 90.00
_symmetry_space_group_name_H-M 'P 1'
_symmetry_Int_Tables_number 1
loop_
_symmetry_equiv_pos_as_xyz
'x,y,z'
loop_
_atom_site_label
_atom_site_fract_x
_atom_site_fract_y
_atom_site_fract_z
Y1 0.0000 0.0000 0.0000
Y2 0.5000 0.5000 0.0000
Mg1 0.2499 0.5000 0.2509
Mg2 0.7499 0.0000 0.2509
Pb1 0.0000 0.5000 0.5001
Pb2 0.2501 0.0000 0.7517
Pb3 0.5000 0.0000 0.5001
Pb4 0.7501 0.5000 0.7517
```



A crystal of TiV5P6O24 relaxed with PBEsol. Source: the Alexandria database, functional SCAN.

CIF file:
```
data_TiV5P6O24
_chemical_formula_sum 'Ti1 V5 P6 O24'
_cell_length_a 8.3526
_cell_length_b 8.3526
_cell_length_c 8.3526
_cell_angle_alpha 61.54
_cell_angle_beta 61.54
_cell_angle_gamma 61.54
_symmetry_space_group_name_H-M 'P 1'
_symmetry_Int_Tables_number 1
loop_
_symmetry_equiv_pos_as_xyz
'x,y,z'
loop_
_atom_site_label
_atom_site_fract_x
_atom_site_fract_y
_atom_site_fract_z
Ti1 0.0000 0.0000 0.0000
V1 0.2180 0.2180 0.2180
V2 0.3576 0.3576 0.3576
V3 0.4975 0.4975 0.4975
V4 0.7169 0.7169 0.7169
V5 0.8591 0.8591 0.8591
P1 0.1075 0.4034 0.8158
P2 0.3174 0.8990 0.6065
P3 0.4034 0.8158 0.1075
P4 0.6065 0.3174 0.8990
P5 0.8158 0.1075 0.4034
P6 0.8990 0.6065 0.3174
O1 0.0331 0.2448 0.8623
O2 0.1030 0.4506 0.3005
O3 0.1141 0.9169 0.7650
O4 0.1790 0.3602 0.9723
O5 0.2448 0.8623 0.0331
O6 0.2638 0.4140 0.6131
O7 0.3005 0.1030 0.4506
O8 0.3570 0.7424 0.5365
O9 0.3602 0.9723 0.1790
O10 0.4140 0.6131 0.2638
O11 0.4506 0.3005 0.1030
O12 0.4730 0.8580 0.6790
O13 0.5365 0.3570 0.7424
O14 0.6055 0.7987 0.9503
O15 0.6131 0.2638 0.4140
O16 0.6790 0.4730 0.8581
O17 0.7424 0.5365 0.3570
O18 0.7650 0.1141 0.9169
O19 0.7987 0.9503 0.6055
O20 0.8581 0.6790 0.4730
O21 0.8623 0.0331 0.2448
O22 0.9169 0.7650 0.1141
O23 0.9503 0.6055 0.7987
O24 0.9723 0.1790 0.3602
```



A crystal of CaZnSe2 relaxed with PBEsol. Source: the Alexandria database, functional SCAN.

CIF file:
```
data_CaZnSe2
_chemical_formula_sum 'Ca3 Zn3 Se6'
_cell_length_a 3.9503
_cell_length_b 3.9503
_cell_length_c 19.2648
_cell_angle_alpha 90.00
_cell_angle_beta 90.00
_cell_angle_gamma 120.00
_symmetry_space_group_name_H-M 'P 1'
_symmetry_Int_Tables_number 1
loop_
_symmetry_equiv_pos_as_xyz
'x,y,z'
loop_
_atom_site_label
_atom_site_fract_x
_atom_site_fract_y
_atom_site_fract_z
Ca1 0.0000 0.0000 0.0000
Ca2 0.3333 0.6667 0.6667
Ca3 0.6667 0.3333 0.3333
Zn1 0.0000 0.0000 0.5000
Zn2 0.3333 0.6667 0.1667
Zn3 0.6667 0.3333 0.8333
Se1 0.0000 0.0000 0.2400
Se2 0.0000 0.0000 0.7600
Se3 0.3333 0.6667 0.4267
Se4 0.3333 0.6667 0.9067
Se5 0.6667 0.3333 0.0933
Se6 0.6667 0.3333 0.5733
```



A crystal of KSr2Ca relaxed with PBEsol. Source: the Alexandria database, functional SCAN.

Excess energy over the best structure of this formula in the dataset: 1 meV per atom
DFT formation energy: 0.071 eV per atom

CIF file:
```
data_KSr2Ca
_chemical_formula_sum 'K3 Sr6 Ca3'
_cell_length_a 4.1440
_cell_length_b 4.1440
_cell_length_c 41.8749
_cell_angle_alpha 90.00
_cell_angle_beta 90.00
_cell_angle_gamma 120.00
_symmetry_space_group_name_H-M 'P 1'
_symmetry_Int_Tables_number 1
loop_
_symmetry_equiv_pos_as_xyz
'x,y,z'
loop_
_atom_site_label
_atom_site_fract_x
_atom_site_fract_y
_atom_site_fract_z
K1 0.0000 0.0000 0.0000
K2 0.3333 0.6667 0.6667
K3 0.6667 0.3333 0.3333
Sr1 0.0000 0.0000 0.2432
Sr2 0.0000 0.0000 0.7568
Sr3 0.3333 0.6667 0.4234
Sr4 0.3333 0.6667 0.9099
Sr5 0.6667 0.3333 0.0901
Sr6 0.6667 0.3333 0.5766
Ca1 0.0000 0.0000 0.5000
Ca2 0.3333 0.6667 0.1667
Ca3 0.6667 0.3333 0.8333
```



A crystal of InFeSi2 relaxed with PBEsol. Source: the Alexandria database, functional SCAN.

CIF file:
```
data_InFeSi2
_chemical_formula_sum 'In2 Fe2 Si4'
_cell_length_a 2.6576
_cell_length_b 4.4898
_cell_length_c 10.3783
_cell_angle_alpha 90.00
_cell_angle_beta 90.00
_cell_angle_gamma 90.00
_symmetry_space_group_name_H-M 'P 1'
_symmetry_Int_Tables_number 1
loop_
_symmetry_equiv_pos_as_xyz
'x,y,z'
loop_
_atom_site_label
_atom_site_fract_x
_atom_site_fract_y
_atom_site_fract_z
In1 0.0000 0.0000 0.0000
In2 0.5000 0.5000 0.5000
Fe1 0.0000 0.0000 0.5000
Fe2 0.5000 0.5000 0.0000
Si1 0.0000 0.5000 0.1905
Si2 0.0000 0.5000 0.8095
Si3 0.5000 0.0000 0.3095
Si4 0.5000 0.0000 0.6905
```



A crystal of Mo2C relaxed with PBEsol. Source: the Alexandria database, functional SCAN.

DFT formation energy: 0.137 eV per atom

CIF file:
```
data_Mo2C
_chemical_formula_sum 'Mo8 C4'
_cell_length_a 2.7868
_cell_length_b 9.8165
_cell_length_c 5.1366
_cell_angle_alpha 90.00
_cell_angle_beta 90.00
_cell_angle_gamma 90.00
_symmetry_space_group_name_H-M 'P 1'
_symmetry_Int_Tables_number 1
loop_
_symmetry_equiv_pos_as_xyz
'x,y,z'
loop_
_atom_site_label
_atom_site_fract_x
_atom_site_fract_y
_atom_site_fract_z
Mo1 0.0000 0.0250 0.0000
Mo2 0.0000 0.2792 0.8266
Mo3 0.0000 0.7208 0.3266
Mo4 0.0000 0.9750 0.5000
Mo5 0.5000 0.2208 0.3266
Mo6 0.5000 0.4750 0.5000
Mo7 0.5000 0.5250 0.0000
Mo8 0.5000 0.7792 0.8266
C1 0.0000 0.3828 0.2112
C2 0.0000 0.6172 0.7112
C3 0.5000 0.1172 0.7112
C4 0.5000 0.8828 0.2112
```



Number 1: uncorrected energy -52.979 eV/atom. Number 2: uncorrected energy -46.236 eV/atom. Number 3: uncorrected energy -25.773 eV/atom. Number 4: uncorrected energy -17.701 eV/atom. Number 5: uncorrected energy -46.610 eV/atom. Number 6: uncorrected energy -11.377 eV/atom. Number 7: uncorrected energy -17.140 eV/atom. Number 8: uncorrected energy -15.565 eV/atom. Number 9: uncorrected energy -17.508 eV/atom. Number 10: uncorrected energy -26.487 eV/atom.